[1]
Here is crystalline AgIrRu2 at its relaxed geometry from the Alexandria database. Energies are from GGA-PBEsol.

Output
As for the energy of formation from the pure elements: 528 meV/atom. The total energy is -7.841 eV/atom. The crystal system is orthorhombic. As for the magnetic moment: 0.00 μB per atom.

a b c (Å): 2.663 2.663 9.423
angles (deg): 90.00 90.00 119.16
Sites, in units of the cell vectors:
Ir 0.500 0.500 0.000
Ru 0.000 0.000 0.760
Ru 0.000 0.000 0.240
Ag 0.500 0.500 0.500


[2]
Here is crystalline AgIr2Ru at its relaxed geometry from the Alexandria database. Energies are from GGA-PBEsol.

Output
As for the energy of formation from the pure elements: 307 meV/atom. The total energy is -7.976 eV/atom. The crystal system is monoclinic. As for the magnetic moment: 0.00 μB per atom. The energy above the most stable polymorph in this dataset comes out at 3.05 kcal/mol of atoms.

a b c (Å): 2.718 4.729 4.731
angles (deg): 99.50 106.70 90.00
Sites, in units of the cell vectors:
Ir 0.243 0.239 0.485
Ir 0.757 0.761 0.515
Ag 0.000 0.500 0.000
Ru 0.500 0.000 0.000


[3]
Here is crystalline AgIr2Ru at its relaxed geometry from the Alexandria database. Energies are from GGA-PBEsol.

Output
As for the energy of formation from the pure elements: 589 meV/atom. The total energy is -7.694 eV/atom. The crystal system is orthorhombic. As for the magnetic moment: 0.12 μB per atom. The energy above the most stable polymorph in this dataset comes out at 9.54 kcal/mol of atoms.

a b c (Å): 2.703 4.641 4.669
angles (deg): 90.00 90.00 90.00
Last column: magnetic moment on the atom in μB.
Sites, in units of the cell vectors:
Ir 0.000 0.000 0.000  0.08
Ir 0.500 0.000 0.500  0.06
Ru 0.500 0.500 0.000  0.33
Ag 0.000 0.500 0.500  0.00


[4]
Here is crystalline AgIrRu2Se at its relaxed geometry from the Alexandria database. Energies are from GGA-PBEsol.

Output
The uncorrected formation energy is 1660 meV/atom. The total energy is -5.805 eV/atom. The crystal system is tetragonal. As for the magnetic moment: 0.20 μB per atom.

a b c (Å): 4.609 4.609 4.948
angles (deg): 90.00 90.00 90.00
Last column: magnetic moment on the atom in μB.
Sites, in units of the cell vectors:
Se 0.500 0.500 0.500  0.05
Ru 0.000 0.500 0.000  0.43
Ru 0.500 0.000 0.000  0.43
Ir 0.000 0.000 0.000  0.01
Ag 0.000 0.000 0.500  0.01